[1]
This record from the Alexandria database describes crystalline Pr8Sm2Sc at its relaxed geometry. The functional is GGA-PBE.

Output
**SG**: No. 12
**Size of the total moment**: 0.00 μB/f.u.
**Formation energy from the elements**: 0.1605 eV/atom
**ΔE to the lowest computed polymorph**: 0.049 eV/atom

abc: 6.812 10.150 10.150
angles: 39.88 60.86 60.86
Element x y z (fractional)
Pr 0.230 0.338 0.820
Pr 0.770 0.180 0.662
Pr 0.157 0.755 0.755
Pr 0.843 0.245 0.245
Pr 0.230 0.820 0.338
Pr 0.770 0.662 0.180
Pr 0.728 0.598 0.598
Pr 0.272 0.402 0.402
Sm 0.553 0.817 0.817
Sm 0.447 0.183 0.183
Sc 0.000 0.000 0.000

[2]
This record from the Alexandria database describes crystalline Pr4Sm2Sc at its relaxed geometry. The functional is GGA-PBE.

Output
**SG**: No. 65
**Size of the total moment**: 0.00 μB/f.u.
**Formation energy from the elements**: 0.4806 eV/atom
**ΔE to the lowest computed polymorph**: 0.399 eV/atom

abc: 6.012 6.204 7.228
angles: 115.42 90.00 90.00
Element x y z (fractional)
Pr 0.500 0.635 0.270
Pr 0.000 0.812 0.624
Pr 0.500 0.365 0.730
Pr 0.000 0.188 0.376
Sm 0.500 0.110 0.221
Sm 0.500 0.890 0.779
Sc 0.000 0.500 0.000

[3]
This record from the Alexandria database describes crystalline Pr4Sm5Sc2 at its relaxed geometry. The functional is GGA-PBE.

Output
**SG**: No. 12
**Size of the total moment**: 0.00 μB/f.u.
**Formation energy from the elements**: 0.1141 eV/atom
**ΔE to the lowest computed polymorph**: 0.000 eV/atom

abc: 3.542 8.707 12.108
angles: 94.47 98.41 90.00
Element x y z (fractional)
Pr 0.274 0.177 0.549
Pr 0.961 0.652 0.922
Pr 0.726 0.823 0.451
Pr 0.039 0.348 0.078
Sm 0.818 0.523 0.637
Sm 0.182 0.477 0.363
Sm 0.871 0.962 0.742
Sm 0.500 0.000 0.000
Sm 0.129 0.038 0.258
Sc 0.413 0.302 0.825
Sc 0.587 0.698 0.175

[4]
This record from the Alexandria database describes crystalline Pr5SmSc at its relaxed geometry. The functional is GGA-PBE.

Output
**SG**: No. 123
**Size of the total moment**: 0.00 μB/f.u.
**Formation energy from the elements**: 0.2335 eV/atom

abc: 5.410 5.410 8.645
angles: 90.00 90.00 90.00
Element x y z (fractional)
Pr 0.500 0.500 0.000
Pr 0.500 0.000 0.289
Pr 0.000 0.500 0.289
Pr 0.500 0.000 0.711
Pr 0.000 0.500 0.711
Sm 0.000 0.000 0.000
Sc 0.000 0.000 0.500

[5]
This record from the Alexandria database describes crystalline Pr4Sm2Sc3 at its relaxed geometry. The functional is GGA-PBE.

Output
**SG**: No. 12
**Size of the total moment**: 0.00 μB/f.u.
**Formation energy from the elements**: 0.0540 eV/atom

abc: 5.042 6.116 10.593
angles: 73.57 89.99 65.67
Element x y z (fractional)
Pr 0.666 0.669 0.887
Pr 0.006 0.987 0.338
Pr 0.994 0.013 0.662
Pr 0.334 0.331 0.113
Sm 0.330 0.339 0.772
Sm 0.670 0.661 0.228
Sc 0.336 0.329 0.449
Sc 0.000 0.000 0.000
Sc 0.664 0.671 0.551

[6]
This record from the Alexandria database describes crystalline Pr7Sm4Sc at its relaxed geometry. The functional is GGA-PBE.

Output
**SG**: No. 10
**Size of the total moment**: 0.00 μB/f.u.
**Formation energy from the elements**: 0.0258 eV/atom
**ΔE to the lowest computed polymorph**: 0.000 eV/atom

abc: 7.357 9.716 11.715
angles: 69.03 51.06 40.77
Element x y z (fractional)
Pr 0.746 0.500 0.000
Pr 0.254 0.500 0.000
Pr 0.113 0.218 0.668
Pr 0.887 0.782 0.332
Pr 0.392 0.772 0.336
Pr 0.500 0.000 0.000
Pr 0.608 0.228 0.664
Sm 0.643 0.275 0.328
Sm 0.357 0.725 0.672
Sm 0.848 0.725 0.672
Sm 0.152 0.275 0.328
Sc 0.000 0.000 0.000

- size of the total moment of number 4 (Pr5SmSc)?
  0.00 μB/f.u.

- size of the total moment of number 3 (Pr4Sm5Sc2)?
  0.00 μB/f.u.